Entry 1:
The following is a DFT calculation (PBE-GGA) of a relaxed KNdFeS3 crystal.

DFT total energy in eV/atom: -5.55
Crystal system: monoclinic
SG: C2/m (12)
ΔE to the lowest computed polymorph in eV per formula unit: 1.04

a = 8.6896 Å, b = 8.6896 Å, c = 8.5226 Å
α = 103.89°, β = 103.89°, γ = 27.81°
Last column: nearest neighbours and their distance in Å.
Positions (direct):
K 0.1418 0.1418 0.0722  7 S 3.12-3.35
K 0.8582 0.8582 0.9278  7 S 3.12-3.35
Nd 0.1681 0.1681 0.5912  6 S 2.75-2.86
Nd 0.8319 0.8319 0.4088  6 S 2.75-2.86
Fe 0.4939 0.4939 0.2674  2 S 2.31-2.42
Fe 0.5061 0.5061 0.7326  2 S 2.31-2.42
S 0.0000 0.0000 0.5000  2 Nd 2.75, 4 Fe 2.86
S 0.3420 0.3420 0.6397  1 Fe 2.68, 3 Nd 2.85-2.86
S 0.3461 0.3461 0.2015  1 Fe 2.42
S 0.5000 0.5000 0.0000  2 Fe 2.31
S 0.6539 0.6539 0.7985  1 Fe 2.42
S 0.6580 0.6580 0.3603  1 Fe 2.68, 3 Nd 2.85-2.86


Entry 2:
The following is a DFT calculation (PBE-GGA) of a relaxed KNdFeS3 crystal.

DFT total energy in eV/atom: -5.72
Crystal system: orthorhombic
SG: Pnma (62)
ΔE to the lowest computed polymorph in eV per formula unit: 0.08

a = 11.1244 Å, b = 4.1728 Å, c = 12.0559 Å
α = 90.00°, β = 90.00°, γ = 90.00°
Last column: nearest neighbours and their distance in Å.
Positions (direct):
K 0.1682 0.2500 0.0096  7 S 3.14-3.32, 2 Fe 3.48
K 0.3318 0.7500 0.5096  7 S 3.14-3.32, 2 Fe 3.48
K 0.6682 0.2500 0.4904  7 S 3.14-3.32, 2 Fe 3.48
K 0.8318 0.7500 0.9904  7 S 3.14-3.32, 2 Fe 3.48
Nd 0.0183 0.2500 0.6723  7 S 2.87-3.00
Nd 0.4817 0.7500 0.1723  7 S 2.87-3.00
Nd 0.5183 0.2500 0.8277  7 S 2.87-3.00
Nd 0.9817 0.7500 0.3277  7 S 2.87-3.00
Fe 0.2450 0.2500 0.2934  4 S 2.27-2.36
Fe 0.2550 0.7500 0.7934  4 S 2.27-2.36
Fe 0.7450 0.2500 0.2066  4 S 2.27-2.36
Fe 0.7550 0.7500 0.7066  4 S 2.27-2.36
S 0.0556 0.7500 0.8317  1 Fe 2.27
S 0.1122 0.2500 0.4411  1 Fe 2.31
S 0.2166 0.7500 0.2062  2 Fe 2.36
S 0.2834 0.2500 0.7062  2 Fe 2.36
S 0.3878 0.7500 0.9411  1 Fe 2.31
S 0.4444 0.2500 0.3317  1 Fe 2.27
S 0.5556 0.7500 0.6683  1 Fe 2.27
S 0.6122 0.2500 0.0589  1 Fe 2.31
S 0.7166 0.7500 0.2938  2 Fe 2.36
S 0.7834 0.2500 0.7938  2 Fe 2.36
S 0.8878 0.7500 0.5589  1 Fe 2.31
S 0.9444 0.2500 0.1683  1 Fe 2.27


Entry 3:
The following is a DFT calculation (PBE-GGA) of a relaxed KNdFeS3 crystal.

DFT total energy in eV/atom: -5.68
Crystal system: orthorhombic
SG: Pnma (62)
ΔE to the lowest computed polymorph in eV per formula unit: 0.27

a = 9.7282 Å, b = 4.0717 Å, c = 15.0296 Å
α = 90.00°, β = 90.00°, γ = 90.00°
Last column: nearest neighbours and their distance in Å.
Positions (direct):
K 0.0489 0.2500 0.1797  7 S 3.27-3.45, 2 Fe 3.67
K 0.4511 0.7500 0.6797  7 S 3.27-3.45, 2 Fe 3.67
K 0.5489 0.2500 0.3203  7 S 3.27-3.45, 2 Fe 3.67
K 0.9511 0.7500 0.8203  7 S 3.27-3.45, 2 Fe 3.67
Nd 0.1761 0.7500 0.4387  6 S 2.71-2.94
Nd 0.3239 0.2500 0.9387  6 S 2.71-2.94
Nd 0.6761 0.7500 0.0613  6 S 2.71-2.94
Nd 0.8239 0.2500 0.5613  6 S 2.71-2.94
Fe 0.1462 0.2500 0.6326  4 S 2.22-2.40
Fe 0.3538 0.7500 0.1326  4 S 2.22-2.40
Fe 0.6462 0.2500 0.8674  4 S 2.22-2.40
Fe 0.8538 0.7500 0.3674  4 S 2.22-2.40
S 0.0222 0.7500 0.6071  2 Fe 2.40
S 0.1803 0.7500 0.0288  1 Fe 2.30
S 0.2054 0.2500 0.7752  1 Fe 2.22
S 0.2946 0.7500 0.2752  1 Fe 2.22
S 0.3197 0.2500 0.5288  1 Fe 2.30
S 0.4778 0.2500 0.1071  2 Fe 2.40
S 0.5222 0.7500 0.8929  2 Fe 2.40
S 0.6803 0.7500 0.4712  1 Fe 2.30
S 0.7054 0.2500 0.7248  1 Fe 2.22
S 0.7946 0.7500 0.2248  1 Fe 2.22
S 0.8197 0.2500 0.9712  1 Fe 2.30
S 0.9778 0.2500 0.3929  2 Fe 2.40


Entry 4:
The following is a DFT calculation (PBE-GGA) of a relaxed KNdFeSe3 crystal.

DFT total energy in eV/atom: -5.29
Crystal system: monoclinic
SG: P2_1/m (11)

a = 8.7000 Å, b = 4.1649 Å, c = 10.4042 Å
α = 90.00°, β = 108.08°, γ = 90.00°
Last column: nearest neighbours and their distance in Å.
Positions (direct):
K 0.2444 0.2500 0.2111  6 Se 3.29-3.51
K 0.7556 0.7500 0.7889  6 Se 3.29-3.51
Nd 0.1874 0.7500 0.6418  6 Se 2.91-3.05
Nd 0.8126 0.2500 0.3582  6 Se 2.91-3.05
Fe 0.4311 0.2500 0.9131  4 Se 2.42-2.56
Fe 0.5689 0.7500 0.0869  4 Se 2.42-2.56
Se 0.0482 0.7500 0.3490  3 Nd 2.91-2.94
Se 0.2797 0.7500 0.9500  3 Fe 2.48-2.56
Se 0.4390 0.2500 0.6828  1 Fe 2.42
Se 0.5610 0.7500 0.3172  1 Fe 2.42
Se 0.7203 0.2500 0.0500  3 Fe 2.48-2.56
Se 0.9518 0.2500 0.6510  3 Nd 2.91-2.94


Entry 5:
The following is a DFT calculation (PBE-GGA) of a relaxed KNdFeTe3 crystal.

DFT total energy in eV/atom: -4.81
Crystal system: monoclinic
SG: P2_1/m (11)
ΔE to the lowest computed polymorph in eV per formula unit: 0.00

a = 9.6361 Å, b = 4.3660 Å, c = 10.7401 Å
α = 90.00°, β = 108.23°, γ = 90.00°
Last column: nearest neighbours and their distance in Å.
Positions (direct):
K 0.2331 0.2500 0.2728  6 Te 3.49-3.66
K 0.7669 0.7500 0.7272  6 Te 3.49-3.66
Nd 0.3189 0.7500 0.8585  6 Te 3.12-3.23
Nd 0.6811 0.2500 0.1415  6 Te 3.12-3.23
Fe 0.0635 0.2500 0.5787  4 Te 2.61-2.74, 2 Fe 2.80
Fe 0.9365 0.7500 0.4213  4 Te 2.61-2.74, 2 Fe 2.80
Te 0.0736 0.2500 0.8286  1 Fe 2.66
Te 0.2179 0.7500 0.5417  3 Fe 2.61-2.74
Te 0.4531 0.7500 0.1634  3 Nd 3.12-3.16, 2 K 3.49
Te 0.5469 0.2500 0.8366  3 Nd 3.12-3.16, 2 K 3.49
Te 0.7821 0.2500 0.4583  3 Fe 2.61-2.74
Te 0.9264 0.7500 0.1714  1 Fe 2.66


Entry 6:
The following is a DFT calculation (PBE-GGA) of a relaxed KNdFeTe3 crystal.

DFT total energy in eV/atom: -4.80
Crystal system: orthorhombic
SG: Cmcm (63)
ΔE to the lowest computed polymorph in eV per formula unit: 0.08

a = 8.2136 Å, b = 8.2136 Å, c = 11.7965 Å
α = 90.00°, β = 90.00°, γ = 148.60°
Last column: nearest neighbours and their distance in Å.
Positions (direct):
K 0.2480 0.7520 0.7500  6 Te 3.60
K 0.7520 0.2480 0.2500  6 Te 3.60
Nd 0.5000 0.5000 0.0000  6 Te 3.15-3.16
Nd 0.5000 0.5000 0.5000  6 Te 3.15-3.16
Fe 0.0310 0.9690 0.2500  4 Te 2.62-2.73
Fe 0.9690 0.0310 0.7500  4 Te 2.62-2.73
Te 0.1311 0.8689 0.0726  1 Fe 2.62
Te 0.1311 0.8689 0.4274  1 Fe 2.62
Te 0.4307 0.5693 0.2500  2 Fe 2.73
Te 0.5693 0.4307 0.7500  2 Fe 2.73
Te 0.8689 0.1311 0.5726  1 Fe 2.62
Te 0.8689 0.1311 0.9274  1 Fe 2.62


Entry 7:
The following is a DFT calculation (PBE-GGA) of a relaxed KNdFeTe3 crystal.

DFT total energy in eV/atom: -4.81
Crystal system: orthorhombic
SG: Pnma (62)
ΔE to the lowest computed polymorph in eV per formula unit: 0.00

a = 16.3467 Å, b = 4.3584 Å, c = 11.9652 Å
α = 90.00°, β = 90.00°, γ = 90.00°
Last column: nearest neighbours and their distance in Å.
Positions (direct):
K 0.2312 0.2500 0.0288  6 Te 3.48-3.63
K 0.2688 0.7500 0.5288  6 Te 3.48-3.63
K 0.7312 0.2500 0.4712  6 Te 3.48-3.63
K 0.7688 0.7500 0.9712  6 Te 3.48-3.63
Nd 0.0190 0.2500 0.3418  6 Te 3.13-3.23
Nd 0.4810 0.7500 0.8418  6 Te 3.13-3.23
Nd 0.5190 0.2500 0.1582  6 Te 3.13-3.23
Nd 0.9810 0.7500 0.6582  6 Te 3.13-3.23
Fe 0.0076 0.7500 0.0739  4 Te 2.62-2.73, 2 Fe 2.82
Fe 0.4924 0.2500 0.5739  4 Te 2.62-2.73, 2 Fe 2.82
Fe 0.5076 0.7500 0.4261  4 Te 2.62-2.73, 2 Fe 2.82
Fe 0.9924 0.2500 0.9261  4 Te 2.62-2.73, 2 Fe 2.82
Te 0.0886 0.7500 0.8846  3 Fe 2.62-2.73
Te 0.1060 0.2500 0.5747  3 Nd 3.13-3.15, 2 K 3.48
Te 0.1283 0.7500 0.2233  1 Fe 2.66
Te 0.3717 0.2500 0.7233  1 Fe 2.66
Te 0.3940 0.7500 0.0747  3 Nd 3.13-3.15, 2 K 3.48
Te 0.4114 0.2500 0.3846  3 Fe 2.62-2.73
Te 0.5886 0.7500 0.6154  3 Fe 2.62-2.73
Te 0.6060 0.2500 0.9253  3 Nd 3.13-3.15, 2 K 3.48
Te 0.6283 0.7500 0.2767  1 Fe 2.66
Te 0.8717 0.2500 0.7767  1 Fe 2.66
Te 0.8940 0.7500 0.4253  3 Nd 3.13-3.15, 2 K 3.48
Te 0.9114 0.2500 0.1154  3 Fe 2.62-2.73


Entry 8:
The following is a DFT calculation (PBE-GGA) of a relaxed KFeNiTe3 crystal.

DFT total energy in eV/atom: -4.39
Crystal system: orthorhombic
SG: Pnma (62)
ΔE to the lowest computed polymorph in eV per formula unit: 0.00

a = 16.0818 Å, b = 3.8399 Å, c = 9.9893 Å
α = 90.00°, β = 90.00°, γ = 90.00°
Last column: nearest neighbours and their distance in Å.
Positions (direct):
K 0.2378 0.2500 0.0517  7 Te 3.48-3.61, 2 K 3.84
K 0.2622 0.7500 0.5517  7 Te 3.48-3.61, 2 K 3.84
K 0.7378 0.2500 0.4483  7 Te 3.48-3.61, 2 K 3.84
K 0.7622 0.7500 0.9483  7 Te 3.48-3.61, 2 K 3.84
Fe 0.0140 0.2500 0.3207  6 Te 2.56-2.66
Fe 0.4860 0.7500 0.8207  6 Te 2.56-2.66
Fe 0.5140 0.2500 0.1793  6 Te 2.56-2.66
Fe 0.9860 0.7500 0.6793  6 Te 2.56-2.66
Ni 0.0106 0.7500 0.0955  4 Te 2.49-2.56, 2 Ni 2.73
Ni 0.4894 0.2500 0.5955  4 Te 2.49-2.56, 2 Ni 2.73
Ni 0.5106 0.7500 0.4045  4 Te 2.49-2.56, 2 Ni 2.73
Ni 0.9894 0.2500 0.9045  4 Te 2.49-2.56, 2 Ni 2.73
Te 0.0732 0.2500 0.5691  3 Fe 2.62-2.66
Te 0.0897 0.7500 0.8734  3 Ni 2.53-2.56, 1 Fe 2.56
Te 0.1198 0.7500 0.2718  1 Ni 2.49, 2 Fe 2.61
Te 0.3802 0.2500 0.7718  1 Ni 2.49, 2 Fe 2.61
Te 0.4103 0.2500 0.3734  3 Ni 2.53-2.56, 1 Fe 2.56
Te 0.4268 0.7500 0.0691  3 Fe 2.62-2.66
Te 0.5732 0.2500 0.9309  3 Fe 2.62-2.66
Te 0.5897 0.7500 0.6266  3 Ni 2.53-2.56, 1 Fe 2.56
Te 0.6198 0.7500 0.2282  1 Ni 2.49, 2 Fe 2.61
Te 0.8802 0.2500 0.7282  1 Ni 2.49, 2 Fe 2.61
Te 0.9103 0.2500 0.1266  3 Ni 2.53-2.56, 1 Fe 2.56
Te 0.9268 0.7500 0.4309  3 Fe 2.62-2.66


Entry 9:
The following is a DFT calculation (PBE-GGA) of a relaxed KFeNiTe3 crystal.

DFT total energy in eV/atom: -4.35
Crystal system: monoclinic
SG: P2_1/m (11)
ΔE to the lowest computed polymorph in eV per formula unit: 0.26

a = 8.9514 Å, b = 3.8867 Å, c = 9.7433 Å
α = 90.00°, β = 112.71°, γ = 90.00°
Last column: nearest neighbours and their distance in Å.
Positions (direct):
K 0.0129 0.2500 0.2721  8 Te 3.54-3.89, 2 K 3.89
K 0.9871 0.7500 0.7279  8 Te 3.54-3.89, 2 K 3.89
Fe 0.4870 0.7500 0.3909  4 Te 2.55-2.62, 2 Fe 2.82
Fe 0.5130 0.2500 0.6091  4 Te 2.55-2.62, 2 Fe 2.82
Ni 0.4716 0.2500 0.1635  6 Te 2.62-2.73, 2 Fe 2.91
Ni 0.5284 0.7500 0.8365  6 Te 2.62-2.73, 2 Fe 2.91
Te 0.2567 0.7500 0.1350  1 Fe 2.55, 2 Ni 2.67
Te 0.3081 0.7500 0.5492  3 Fe 2.58-2.62, 1 Ni 2.73
Te 0.3457 0.2500 0.8719  3 Ni 2.62-2.65
Te 0.6543 0.7500 0.1281  3 Ni 2.62-2.65
Te 0.6919 0.2500 0.4508  3 Fe 2.58-2.62, 1 Ni 2.73
Te 0.7433 0.2500 0.8650  1 Fe 2.55, 2 Ni 2.67


Entry 10:
The following is a DFT calculation (PBE-GGA) of a relaxed KFeNiTe3 crystal.

DFT total energy in eV/atom: -4.33
Crystal system: orthorhombic
SG: Cmcm (63)
ΔE to the lowest computed polymorph in eV per formula unit: 0.39

a = 8.0622 Å, b = 8.0622 Å, c = 10.2474 Å
α = 90.00°, β = 90.00°, γ = 152.39°
Last column: nearest neighbours and their distance in Å.
Positions (direct):
K 0.2403 0.7597 0.7500  8 Te 3.52-3.75, 2 Ni 3.75, 2 K 3.85
K 0.7597 0.2403 0.2500  8 Te 3.52-3.75, 2 Ni 3.75, 2 K 3.85
Fe 0.0000 0.0000 0.0000  6 Te 2.64-2.77
Fe 0.0000 0.0000 0.5000  6 Te 2.64-2.77
Ni 0.4652 0.5348 0.2500  4 Te 2.49
Ni 0.5348 0.4652 0.7500  4 Te 2.49
Te 0.0666 0.9334 0.2500  2 Ni 2.49, 2 Fe 2.77
Te 0.3875 0.6125 0.0383  1 Ni 2.49, 2 Fe 2.64
Te 0.3875 0.6125 0.4617  1 Ni 2.49, 2 Fe 2.64
Te 0.6125 0.3875 0.5383  1 Ni 2.49, 2 Fe 2.64
Te 0.6125 0.3875 0.9617  1 Ni 2.49, 2 Fe 2.64
Te 0.9334 0.0666 0.7500  2 Ni 2.49, 2 Fe 2.77


Entry 11:
The following is a DFT calculation (PBE-GGA) of a relaxed K2FeP2Os crystal.

DFT total energy in eV/atom: -5.82
Crystal system: tetragonal
SG: P-4m2 (115)

a = 3.9010 Å, b = 3.9010 Å, c = 9.7735 Å
α = 90.00°, β = 90.00°, γ = 90.00°
Last column: nearest neighbours and their distance in Å.
Positions (direct):
K 0.0000 0.5000 0.1925  4 P 3.30, 2 Fe 3.58, 2 Os 3.58
K 0.5000 0.0000 0.8075  4 P 3.30, 2 Fe 3.58, 2 Os 3.58
Fe 0.5000 0.5000 0.5000  4 P 2.29
P 0.0000 0.5000 0.6229  2 Fe 2.29, 2 Os 2.29
P 0.5000 0.0000 0.3771  2 Fe 2.29, 2 Os 2.29
Os 0.0000 0.0000 0.5000  4 P 2.29


Entry 12:
The following is a DFT calculation (PBE-GGA) of a relaxed KFe2P2 crystal.

DFT total energy in eV/atom: -6.23
Crystal system: tetragonal
SG: I4/mmm (139)

a = 6.8720 Å, b = 6.8720 Å, c = 6.8720 Å
α = 148.03°, β = 148.03°, γ = 45.83°
Last column: nearest neighbours and their distance in Å.
Positions (direct):
K 0.0000 0.0000 0.0000  8 P 3.39, 8 Fe 3.69, 4 K 3.78
Fe 0.2500 0.7500 0.5000  4 P 2.18
Fe 0.7500 0.2500 0.5000  4 P 2.18
P 0.3360 0.3360 0.0000  4 Fe 2.18
P 0.6640 0.6640 0.0000  4 Fe 2.18